1.
Below is an optimized crystal structure of LiP2Ir, with properties calculated at the GGA-PBE level.

The space group is P4mm (No. 99) and the conventional cell measures 3.343, 3.343 and 4.925 Å, with angles of 90.00, 90.00 and 90.00 degrees. The distinct sites, in fractional coordinates, are Li at (0.000, 0.000, 0.000), P at (0.000, 0.000, 0.504), P at (0.500, 0.500, 0.168) and Ir at (0.500, 0.500, 0.671).

For the distance to the lowest polymorph of the same formula, the calculation gives 0.519 eV per atom. The formation energy comes out at -64 meV/atom.

2.
Below is an optimized crystal structure of Al2CdHg, with properties calculated at the GGA-PBE level.

The space group is Imm2 (No. 44) and the conventional cell measures 2.995, 5.361 and 10.416 Å, with angles of 90.00, 90.00 and 90.00 degrees. The distinct sites, in fractional coordinates, are Al at (0.000, 0.000, 0.000), Al at (0.000, 0.500, 0.273), Cd at (0.000, 0.000, 0.522) and Hg at (0.000, 0.500, 0.747).

For the distance to the lowest polymorph of the same formula, the calculation gives 0.058 eV per atom. The formation energy comes out at 171 meV/atom.

3.
Below is an optimized crystal structure of KPa3S7, with properties calculated at the GGA-PBE level.

The space group is C2/m (No. 12) and the conventional cell measures 8.863, 9.689 and 7.046 Å, with angles of 90.00, 110.70 and 90.00 degrees. The distinct sites, in fractional coordinates, are K at (0.000, 0.000, 0.000), Pa at (0.000, 0.273, 0.500), Pa at (0.000, 0.500, 0.000), S at (0.000, 0.000, 0.500), S at (0.142, 0.500, 0.729) and S at (0.173, 0.300, 0.248).

As for the calculated total energy: -6.86 eV per atom.

4.
Below is an optimized crystal structure of Sr3Cd3RhO8, with properties calculated at the GGA-PBE level.

The space group is R-3m (No. 166, hexagonal axes) and the conventional cell measures 6.9361, 6.9361 and 16.8616 Å, with angles of 90.00, 90.00 and 120.00 degrees. The distinct sites, in fractional coordinates, are Sr at (0.0000, 0.5000, 0.0000), Cd at (0.0000, 0.5000, 0.5000), Rh at (0.0000, 0.0000, 0.5000), O at (0.0000, 0.0000, 0.2452) and O at (0.0446, 0.5223, 0.2341).

As for the calculated total energy: -5.30 eV per atom.

5.
Below is an optimized crystal structure of YCdRu2, with properties calculated at the GGA-PBE level.

The space group is Cmmm (No. 65) and the conventional cell measures 3.339, 4.954 and 8.880 Å, with angles of 90.00, 90.00 and 90.00 degrees. The distinct sites, in fractional coordinates, are Y at (0.000, 0.000, 0.000), Cd at (0.000, 0.000, 0.500) and Ru at (0.000, 0.500, 0.248).

The formation energy comes out at 345 meV/atom.

6.
Below is an optimized crystal structure of ReAgBr4, with properties calculated at the GGA-PBE level.

The space group is F-43m (No. 216) and the conventional cell measures 9.007, 9.007 and 9.007 Å, with angles of 90.00, 90.00 and 90.00 degrees. The distinct sites, in fractional coordinates, are Re at (0.000, 0.000, 0.000), Ag at (0.250, 0.250, 0.750) and Br at (0.125, 0.125, 0.375).

For the distance to the lowest polymorph of the same formula, the calculation gives 1.351 eV per atom.

7.
Below is an optimized crystal structure of Na2Hg2Pd5Au, with properties calculated at the GGA-PBE level.

The space group is P4/mbm (No. 127) and the conventional cell measures 9.533, 9.533 and 4.216 Å, with angles of 90.00, 90.00 and 90.00 degrees. The distinct sites, in fractional coordinates, are Na at (0.170, 0.330, 0.000), Hg at (0.130, 0.630, 0.000), Pd at (0.000, 0.500, 0.500), Pd at (0.064, 0.804, 0.500) and Au at (0.000, 0.000, 0.000).

The formation energy comes out at -118 meV/atom.

8.
Below is an optimized crystal structure of PaMnOs, with properties calculated at the GGA-PBE level.

The space group is I4/mmm (No. 139) and the conventional cell measures 3.785, 3.785 and 16.287 Å, with angles of 90.00, 90.00 and 90.00 degrees. The distinct sites, in fractional coordinates, are Pa at (0.000, 0.000, 0.116), Mn at (0.000, 0.000, 0.269) and Os at (0.000, 0.000, 0.420).

For the distance to the lowest polymorph of the same formula, the calculation gives 0.553 eV per atom. The formation energy comes out at 284 meV/atom.

Table of spin magnetization (μB per formula unit), in record order: 0.000 0.000 2.077 1.064 0.001 7.648 0.000 1.512